Record 1
A plane-wave DFT calculation with GGA-PBE was carried out for IrRuS3 after structural relaxation.

Cell and atoms, written as POSCAR:
```
IrRuS3
1.0
4.6207 0.0000 0.0000
0.0000 4.6207 0.0000
0.0000 0.0000 4.6207
Ir Ru S
1 1 3
Direct
0.0000 0.0000 0.0000
0.5000 0.5000 0.5000
0.0000 0.0000 0.5000
0.0000 0.5000 0.0000
0.5000 0.0000 0.0000
```

Values from the calculation:
Space group: Pm-3m (221)
Energy relative to the elements, uncorrected, eV/atom: 1.109
ΔE to the lowest computed polymorph, meV per atom: 0


Record 2
A plane-wave DFT calculation with GGA-PBE was carried out for IrRu2S after structural relaxation.

Cell and atoms, written as POSCAR:
```
IrRu2S
1.0
-2.6490 2.6490 5.4918
2.6490 -2.6490 5.4918
2.6490 2.6490 -5.4918
Ir Ru S
2 4 2
Direct
0.0000 0.0000 0.0000
0.7500 0.2500 0.5000
0.1542 0.6250 0.0292
0.3750 0.4042 0.5292
0.5958 0.1250 0.9708
0.8750 0.8458 0.4708
0.2500 0.7500 0.5000
0.5000 0.5000 0.0000
```

Values from the calculation:
Space group: I-42d (122)
Energy relative to the elements, uncorrected, eV/atom: 0.504


Record 3
A plane-wave DFT calculation with GGA-PBE was carried out for IrRuS4 after structural relaxation.

Cell and atoms, written as POSCAR:
```
IrRuS4
1.0
5.6966 0.0000 0.0000
0.0000 5.6948 0.0000
-0.0419 0.0000 5.6965
Ir Ru S
2 2 8
Direct
0.0000 0.0000 0.0000
0.0000 0.5000 0.5000
0.5000 0.0000 0.5000
0.5000 0.5000 0.0000
0.1288 0.1251 0.3751
0.1288 0.3749 0.8751
0.3825 0.6209 0.3788
0.3825 0.8791 0.8788
0.6175 0.1209 0.1212
0.6175 0.3791 0.6212
0.8712 0.6251 0.1249
0.8712 0.8749 0.6249
```

Values from the calculation:
Space group: P2_1/c (14)
Energy relative to the elements, uncorrected, eV/atom: -0.407


Record 4
A plane-wave DFT calculation with GGA-PBE was carried out for Ir2RuS after structural relaxation.

Cell and atoms, written as POSCAR:
```
Ir2RuS
1.0
-2.8246 2.8246 4.8807
2.8246 -2.8246 4.8807
2.8246 2.8246 -4.8807
Ir Ru S
4 2 2
Direct
0.1030 0.6250 0.9780
0.3750 0.3530 0.4780
0.6470 0.1250 0.0220
0.8750 0.8970 0.5220
0.2500 0.7500 0.5000
0.5000 0.5000 0.0000
0.0000 0.0000 0.0000
0.7500 0.2500 0.5000
```

Values from the calculation:
Space group: I-42d (122)
Energy relative to the elements, uncorrected, eV/atom: 0.628


Record 5
A plane-wave DFT calculation with GGA-PBE was carried out for TeIrRuS2 after structural relaxation.

Cell and atoms, written as POSCAR:
```
TeIrRuS2
1.0
4.9971 0.0000 0.0000
0.0000 4.9971 0.0000
0.0000 0.0000 4.9145
Te Ir Ru S
1 1 1 2
Direct
0.0000 0.0000 0.0000
0.0000 0.0000 0.5000
0.5000 0.5000 0.5000
0.0000 0.5000 0.0000
0.5000 0.0000 0.0000
```

Values from the calculation:
Space group: P4/mmm (123)
Energy relative to the elements, uncorrected, eV/atom: 1.710


Record 6
A plane-wave DFT calculation with GGA-PBE was carried out for Th6Ir2Ru3S after structural relaxation.

Cell and atoms, written as POSCAR:
```
Th6Ir2Ru3S
1.0
8.9769 -2.0424 0.0000
8.9769 2.0424 0.0000
-2.0237 0.0000 8.0569
Th Ir Ru S
6 2 3 1
Direct
0.0016 0.0016 0.2371
0.3294 0.3294 0.4204
0.3335 0.3335 0.9178
0.6665 0.6665 0.0822
0.6706 0.6706 0.5796
0.9984 0.9984 0.7629
0.1655 0.1655 0.8274
0.8345 0.8345 0.1726
0.1595 0.1595 0.3317
0.5000 0.5000 0.0000
0.8405 0.8405 0.6683
0.5000 0.5000 0.5000
```

Values from the calculation:
Space group: C2/m (12)
Energy relative to the elements, uncorrected, eV/atom: -0.815


Record 7
A plane-wave DFT calculation with GGA-PBE was carried out for Th6IrRu2S3 after structural relaxation.

Cell and atoms, written as POSCAR:
```
Th6IrRu2S3
1.0
9.2446 -2.0305 0.0000
9.2446 2.0305 0.0000
-2.5482 0.0000 8.1607
Th Ir Ru S
6 1 2 3
Direct
0.0064 0.0064 0.2395
0.3272 0.3272 0.4299
0.3371 0.3371 0.8999
0.6629 0.6629 0.1001
0.6728 0.6728 0.5701
0.9936 0.9936 0.7605
0.5000 0.5000 0.0000
0.1667 0.1667 0.3334
0.8333 0.8333 0.6666
0.1664 0.1664 0.8342
0.5000 0.5000 0.5000
0.8336 0.8336 0.1658
```

Values from the calculation:
Space group: C2/m (12)
Energy relative to the elements, uncorrected, eV/atom: -1.201


Record 8
A plane-wave DFT calculation with GGA-PBE was carried out for Th8Ir3RuS4 after structural relaxation.

Cell and atoms, written as POSCAR:
```
Th8Ir3RuS4
1.0
4.0804 2.3558 7.1178
-4.0804 2.3558 7.1178
0.0000 -4.7117 7.1178
Th Ir Ru S
8 3 1 4
Direct
0.2427 0.2427 0.2427
0.2460 0.7412 0.7412
0.2588 0.2588 0.7540
0.2588 0.7540 0.2588
0.7412 0.2460 0.7412
0.7412 0.7412 0.2460
0.7540 0.2588 0.2588
0.7573 0.7573 0.7573
0.0000 0.0000 0.5000
0.0000 0.5000 0.0000
0.5000 0.0000 0.0000
0.5000 0.5000 0.5000
0.0000 0.0000 0.0000
0.0000 0.5000 0.5000
0.5000 0.0000 0.5000
0.5000 0.5000 0.0000
```

Values from the calculation:
Space group: R-3m (166)
Energy relative to the elements, uncorrected, eV/atom: -1.307


For reference, E_tot by record: -25.0, -59.0, -74.2, -57.2, -21.0, -104.0, -98.7, -132.6 eV/cell.